First-principles (PBE) data for an optimized crystal structure of In4Hg2Bi5, as listed in Alexandria.

a b c (Å): 6.733 6.733 10.023
angles (deg): 117.96 117.96 63.49
Fractional coordinates of all 11 atoms:
In1 0.041 0.041 0.354
In2 0.301 0.301 0.015
In3 0.699 0.699 0.985
In4 0.959 0.959 0.646
Hg1 0.439 0.439 0.649
Hg2 0.561 0.561 0.351
Bi1 0.000 0.000 0.000
Bi2 0.029 0.510 0.297
Bi3 0.490 0.971 0.703
Bi4 0.510 0.029 0.297
Bi5 0.971 0.490 0.703

Results
- Symmetry: C2/m
- Crystal system: monoclinic
- M_tot: 0.00 Bohr magnetons per cell
- Fermi-level density of states: 4.86 states/eV/cell
- Energy relative to the elements: 0.072 eV per atom
- Raw total energy: -2.742 eV per atom

First-principles (PBE) data for an optimized crystal structure of InHgBi2, as listed in Alexandria.

a b c (Å): 7.251 7.251 7.251
angles (deg): 37.64 37.64 37.64
Fractional coordinates of all 4 atoms:
In1 0.000 0.000 0.000
Hg1 0.830 0.830 0.830
Bi1 0.414 0.414 0.414
Bi2 0.587 0.587 0.587

Results
- Symmetry: R3m
- Crystal system: trigonal
- M_tot: 0.00 Bohr magnetons per cell
- Fermi-level density of states: 2.41 states/eV/cell
- Energy relative to the elements: 0.118 eV per atom
- Raw total energy: -2.583 eV per atom